[1]
## YGa2Hg2 (PBE-GGA)

Data for YGa2Hg2 after structural relaxation.

Raw total energy = -2.752 eV/atom
Energy above the lowest structure with this stoichiometry = 0.131 eV/atom
SG = P4/mbm
Calculated formation energy = -62 kJ/mol of formula units
Fermi-level density of states = 0.58 states/eV per atom

Cell and atoms, written as CIF:
```
data_YGa2Hg2
_chemical_formula_sum 'Y2 Ga4 Hg4'
_space_group_name_H-M_alt 'P 1'
_space_group_IT_number 1
_cell_length_a 7.999
_cell_length_b 7.999
_cell_length_c 3.619
_cell_angle_alpha 90.00
_cell_angle_beta 90.00
_cell_angle_gamma 90.00
loop_
_space_group_symop_operation_xyz
'x,y,z'
loop_
_atom_site_label
_atom_site_type_symbol
_atom_site_fract_x
_atom_site_fract_y
_atom_site_fract_z
Hg1 Hg 0.129 0.371 0.000
Hg2 Hg 0.871 0.629 0.000
Hg3 Hg 0.371 0.871 0.000
Hg4 Hg 0.629 0.129 0.000
Ga1 Ga 0.677 0.823 0.500
Ga2 Ga 0.323 0.177 0.500
Ga3 Ga 0.823 0.323 0.500
Ga4 Ga 0.177 0.677 0.500
Y1 Y 0.500 0.500 0.000
Y2 Y 0.000 0.000 0.000
```

[2]
## HgAuO (PBE-GGA)

Data for HgAuO after structural relaxation.

Raw total energy = -2.822 eV/atom
SG = P-1
Fermi-level density of states = 0.35 states/eV per atom

Cell and atoms, written as CIF:
```
data_HgAuO
_chemical_formula_sum 'Hg2 Au2 O2'
_space_group_name_H-M_alt 'P 1'
_space_group_IT_number 1
_cell_length_a 3.367
_cell_length_b 6.018
_cell_length_c 7.886
_cell_angle_alpha 58.37
_cell_angle_beta 89.78
_cell_angle_gamma 55.55
loop_
_space_group_symop_operation_xyz
'x,y,z'
loop_
_atom_site_label
_atom_site_type_symbol
_atom_site_fract_x
_atom_site_fract_y
_atom_site_fract_z
Hg1 Hg 0.436 0.165 0.252
Hg2 Hg 0.755 0.344 0.571
Au1 Au 0.558 0.541 0.875
Au2 Au 0.632 0.968 0.948
O1 O 0.995 0.602 0.314
O2 O 0.195 0.906 0.508
```

[3]
## RbCuRuRh2 (PBE-GGA)

Data for RbCuRuRh2 after structural relaxation.

Raw total energy = -4.028 eV/atom
SG = P4/mmm
Calculated formation energy = 859 kJ/mol of formula units
Fermi-level density of states = 1.72 states/eV per atom

Cell and atoms, written as CIF:
```
data_RbCuRuRh2
_chemical_formula_sum 'Rb1 Cu1 Ru1 Rh2'
_space_group_name_H-M_alt 'P 1'
_space_group_IT_number 1
_cell_length_a 4.678
_cell_length_b 5.113
_cell_length_c 4.678
_cell_angle_alpha 90.00
_cell_angle_beta 90.00
_cell_angle_gamma 90.00
loop_
_space_group_symop_operation_xyz
'x,y,z'
loop_
_atom_site_label
_atom_site_type_symbol
_atom_site_fract_x
_atom_site_fract_y
_atom_site_fract_z
Ru1 Ru 0.500 0.500 0.500
Rh1 Rh 0.000 0.000 0.500
Rh2 Rh 0.500 0.000 0.000
Rb1 Rb 0.000 0.500 0.000
Cu1 Cu 0.000 0.000 0.000
```

[4]
## Tb2Nd6DyHo3 (PBE-GGA)

Data for Tb2Nd6DyHo3 after structural relaxation.

Raw total energy = -4.672 eV/atom
SG = C2/m
Calculated formation energy = 13 kJ/mol of formula units
Fermi-level density of states = 1.13 states/eV per atom

Cell and atoms, written as CIF:
```
data_Tb2Nd6DyHo3
_chemical_formula_sum 'Tb2 Nd6 Dy1 Ho3'
_space_group_name_H-M_alt 'P 1'
_space_group_IT_number 1
_cell_length_a 6.271
_cell_length_b 6.271
_cell_length_c 11.855
_cell_angle_alpha 95.04
_cell_angle_beta 95.04
_cell_angle_gamma 119.99
loop_
_space_group_symop_operation_xyz
'x,y,z'
loop_
_atom_site_label
_atom_site_type_symbol
_atom_site_fract_x
_atom_site_fract_y
_atom_site_fract_z
Ho1 Ho 0.500 0.500 0.500
Ho2 Ho 0.833 0.167 0.500
Ho3 Ho 0.167 0.833 0.500
Nd1 Nd 0.249 0.249 0.749
Nd2 Nd 0.583 0.916 0.749
Nd3 Nd 0.417 0.084 0.251
Nd4 Nd 0.084 0.417 0.251
Nd5 Nd 0.751 0.751 0.251
Nd6 Nd 0.916 0.583 0.749
Tb1 Tb 0.667 0.333 0.000
Tb2 Tb 0.333 0.667 0.000
Dy1 Dy 0.000 0.000 0.000
```

[5]
## SiNiCl2 (PBE-GGA)

Data for SiNiCl2 after structural relaxation.

Raw total energy = -3.932 eV/atom
Energy above the lowest structure with this stoichiometry = 0.246 eV/atom
SG = Cm
Fermi-level density of states = 0.51 states/eV per atom

Cell and atoms, written as CIF:
```
data_SiNiCl2
_chemical_formula_sum 'Si1 Ni1 Cl2'
_space_group_name_H-M_alt 'P 1'
_space_group_IT_number 1
_cell_length_a 5.903
_cell_length_b 5.903
_cell_length_c 5.058
_cell_angle_alpha 88.62
_cell_angle_beta 88.62
_cell_angle_gamma 35.22
loop_
_space_group_symop_operation_xyz
'x,y,z'
loop_
_atom_site_label
_atom_site_type_symbol
_atom_site_fract_x
_atom_site_fract_y
_atom_site_fract_z
Si1 Si 0.199 0.199 0.180
Cl1 Cl 0.701 0.701 0.738
Cl2 Cl 0.988 0.988 0.216
Ni1 Ni 0.611 0.611 0.366
```

[6]
## Y2Ni12P3Pt (PBE-GGA)

Data for Y2Ni12P3Pt after structural relaxation.

Raw total energy = -5.822 eV/atom
SG = R-3m
Calculated formation energy = -22 kJ/mol of formula units
Fermi-level density of states = 0.55 states/eV per atom

Cell and atoms, written as CIF:
```
data_Y2Ni12P3Pt
_chemical_formula_sum 'Y2 Ni12 P3 Pt1'
_space_group_name_H-M_alt 'P 1'
_space_group_IT_number 1
_cell_length_a 7.136
_cell_length_b 7.136
_cell_length_c 7.136
_cell_angle_alpha 64.40
_cell_angle_beta 64.40
_cell_angle_gamma 64.40
loop_
_space_group_symop_operation_xyz
'x,y,z'
loop_
_atom_site_label
_atom_site_type_symbol
_atom_site_fract_x
_atom_site_fract_y
_atom_site_fract_z
Ni1 Ni 0.657 0.103 0.657
Ni2 Ni 0.897 0.343 0.343
Ni3 Ni 0.133 0.133 0.610
Ni4 Ni 0.103 0.657 0.657
Ni5 Ni 0.390 0.867 0.867
Ni6 Ni 0.343 0.343 0.897
Ni7 Ni 0.610 0.133 0.133
Ni8 Ni 0.657 0.657 0.103
Ni9 Ni 0.133 0.610 0.133
Ni10 Ni 0.867 0.390 0.867
Ni11 Ni 0.343 0.897 0.343
Ni12 Ni 0.867 0.867 0.390
P1 P 0.000 0.500 0.000
P2 P 0.000 0.000 0.500
P3 P 0.500 0.000 0.000
Y1 Y 0.395 0.395 0.395
Y2 Y 0.605 0.605 0.605
Pt1 Pt 0.000 0.000 0.000
```

[7]
## TbPbSe3 (PBE-GGA)

Data for TbPbSe3 after structural relaxation.

Raw total energy = -4.846 eV/atom
SG = C2/m

Cell and atoms, written as CIF:
```
data_TbPbSe3
_chemical_formula_sum 'Tb2 Pb2 Se6'
_space_group_name_H-M_alt 'P 1'
_space_group_IT_number 1
_cell_length_a 5.637
_cell_length_b 8.245
_cell_length_c 7.755
_cell_angle_alpha 103.56
_cell_angle_beta 90.00
_cell_angle_gamma 109.99
loop_
_space_group_symop_operation_xyz
'x,y,z'
loop_
_atom_site_label
_atom_site_type_symbol
_atom_site_fract_x
_atom_site_fract_y
_atom_site_fract_z
Pb1 Pb 0.644 0.287 0.337
Pb2 Pb 0.356 0.713 0.663
Tb1 Tb 0.151 0.302 0.895
Tb2 Tb 0.849 0.698 0.105
Se1 Se 0.043 0.086 0.160
Se2 Se 0.957 0.914 0.840
Se3 Se 0.337 0.675 0.044
Se4 Se 0.836 0.672 0.453
Se5 Se 0.663 0.325 0.956
Se6 Se 0.164 0.328 0.547
```

[8]
## Sc2RhSe (PBE-GGA)

Data for Sc2RhSe after structural relaxation.

Raw total energy = -6.738 eV/atom
Energy above the lowest structure with this stoichiometry = 0.255 eV/atom
SG = Immm
Fermi-level density of states = 0.75 states/eV per atom

Cell and atoms, written as CIF:
```
data_Sc2RhSe
_chemical_formula_sum 'Sc2 Rh1 Se1'
_space_group_name_H-M_alt 'P 1'
_space_group_IT_number 1
_cell_length_a 4.753
_cell_length_b 4.753
_cell_length_c 4.753
_cell_angle_alpha 126.97
_cell_angle_beta 113.30
_cell_angle_gamma 90.18
loop_
_space_group_symop_operation_xyz
'x,y,z'
loop_
_atom_site_label
_atom_site_type_symbol
_atom_site_fract_x
_atom_site_fract_y
_atom_site_fract_z
Rh1 Rh 0.250 0.750 0.500
Sc1 Sc 0.498 0.498 0.000
Sc2 Sc 0.002 0.002 0.000
Se1 Se 0.750 0.250 0.500
```

[9]
## Li2Zn2P (PBE-GGA)

Data for Li2Zn2P after structural relaxation.

Raw total energy = -2.546 eV/atom
SG = P4/mbm
Calculated formation energy = -91 kJ/mol of formula units
Fermi-level density of states = 0.18 states/eV per atom

Cell and atoms, written as CIF:
```
data_Li2Zn2P
_chemical_formula_sum 'Li4 Zn4 P2'
_space_group_name_H-M_alt 'P 1'
_space_group_IT_number 1
_cell_length_a 6.281
_cell_length_b 6.281
_cell_length_c 4.189
_cell_angle_alpha 90.00
_cell_angle_beta 90.00
_cell_angle_gamma 90.00
loop_
_space_group_symop_operation_xyz
'x,y,z'
loop_
_atom_site_label
_atom_site_type_symbol
_atom_site_fract_x
_atom_site_fract_y
_atom_site_fract_z
Zn1 Zn 0.365 0.865 0.000
Zn2 Zn 0.635 0.135 0.000
Zn3 Zn 0.135 0.365 0.000
Zn4 Zn 0.865 0.635 0.000
P1 P 0.000 0.000 0.000
P2 P 0.500 0.500 0.000
Li1 Li 0.669 0.831 0.500
Li2 Li 0.331 0.169 0.500
Li3 Li 0.169 0.669 0.500
Li4 Li 0.831 0.331 0.500
```

[10]
## Li2SiAu2 (PBE-GGA)

Data for Li2SiAu2 after structural relaxation.

Raw total energy = -3.460 eV/atom
Energy above the lowest structure with this stoichiometry = 0.131 eV/atom
SG = P4/mbm
Fermi-level density of states = 0.31 states/eV per atom

Cell and atoms, written as CIF:
```
data_Li2SiAu2
_chemical_formula_sum 'Li4 Si2 Au4'
_space_group_name_H-M_alt 'P 1'
_space_group_IT_number 1
_cell_length_a 6.976
_cell_length_b 6.976
_cell_length_c 3.260
_cell_angle_alpha 90.00
_cell_angle_beta 90.00
_cell_angle_gamma 90.00
loop_
_space_group_symop_operation_xyz
'x,y,z'
loop_
_atom_site_label
_atom_site_type_symbol
_atom_site_fract_x
_atom_site_fract_y
_atom_site_fract_z
Li1 Li 0.353 0.147 0.500
Li2 Li 0.647 0.853 0.500
Li3 Li 0.147 0.647 0.500
Li4 Li 0.853 0.353 0.500
Au1 Au 0.654 0.154 0.000
Au2 Au 0.846 0.654 0.000
Au3 Au 0.154 0.346 0.000
Au4 Au 0.346 0.846 0.000
Si1 Si 0.000 0.000 0.000
Si2 Si 0.500 0.500 0.000
```

The calculation returns the following M_tot values, one per record and in order: 0.00; 0.00; 4.17; 0.00; 0.00; 0.00; 0.00; 0.00; 0.00; 0.00 μB per cell.